Model P:
First-principles (PBE) data for crystalline TbNd3Tl at its relaxed geometry, as listed in Alexandria.

Structure (extended XYZ):
```
10
Lattice="-2.808 0.263 -4.018 -0.740 -4.864 0.198 -11.888 2.029 5.442" Properties=species:S:1:pos:R:3 pbc="T T T"
Tb -4.265 -0.557 1.000
Tl -6.084 -2.849 -0.878
Tb -10.183 -2.107 2.035
Nd -2.605 -3.356 -0.344
Nd -7.759 -0.047 0.476
Tl -11.172 0.448 -0.106
Nd -11.844 0.692 3.379
Nd -6.689 -2.617 2.559
Nd -13.654 -1.601 1.494
Nd -3.602 -0.799 -2.478
```

Properties
M_tot = 0.0 μB per formula unit
DOS(E_F) = 6.29 states/eV/f.u.
Symmetry = Cmcm, No. 63

---

Model Q:
First-principles (PBE) data for crystalline TbNd3Tl at its relaxed geometry, as listed in Alexandria.

Structure (extended XYZ):
```
10
Lattice="-3.133 4.461 1.390 -6.598 -0.632 -1.461 -5.465 -2.847 8.199" Properties=species:S:1:pos:R:3 pbc="T T T"
Nd -10.423 1.711 5.164
Nd -10.230 -1.629 4.935
Nd -4.966 2.611 3.194
Tb -6.967 0.425 5.696
Nd -12.116 -0.296 7.790
Tl -9.293 1.567 8.172
Tb -8.229 0.557 2.433
Tl -5.903 -0.585 -0.044
Nd -4.773 -0.729 2.965
Nd -3.080 1.278 0.339
```

Properties
M_tot = 0.0 μB per formula unit
DOS(E_F) = 6.30 states/eV/f.u.
Symmetry = C2/m, No. 12

---

Most stable of them? model P.